one.
Density functional theory data (GGA-PBE) for a relaxed structure of LaTb3Pr6.

```
data_LaTb3Pr6
_chemical_formula_sum 'La3 Tb9 Pr18'
_space_group_name_H-M_alt 'R 3 2'
_space_group_IT_number 155
_space_group_name_Hall 'R 3 2"'
_cell_length_a 10.0965
_cell_length_b 10.0965
_cell_length_c 12.0792
_cell_angle_alpha 90.00
_cell_angle_beta 90.00
_cell_angle_gamma 120.00
loop_
_atom_site_label
_atom_site_type_symbol
_atom_site_fract_x
_atom_site_fract_y
_atom_site_fract_z
La1 La 0.0000 0.0000 0.0000
Tb1 Tb 0.0000 0.0000 0.2529
Tb2 Tb 0.0000 0.0000 0.5000
Pr1 Pr 0.0000 0.3285 0.0000
Pr2 Pr 0.0000 0.6749 0.5000
```

- density of states at the Fermi level (states/eV per atom) = 1.93

=====

two.
Density functional theory data (GGA-PBE) for a relaxed structure of LaTb3Pr6.

```
data_LaTb3Pr6
_chemical_formula_sum 'La4 Tb12 Pr24'
_space_group_name_H-M_alt 'C m c 21'
_space_group_IT_number 36
_space_group_name_Hall 'C 2c -2'
_cell_length_a 11.153
_cell_length_b 19.446
_cell_length_c 6.448
_cell_angle_alpha 90.00
_cell_angle_beta 90.00
_cell_angle_gamma 90.00
loop_
_atom_site_label
_atom_site_type_symbol
_atom_site_fract_x
_atom_site_fract_y
_atom_site_fract_z
La1 La 0.000 0.189 0.000
Tb1 Tb 0.000 0.382 0.004
Tb2 Tb 0.176 0.116 0.635
Pr1 Pr 0.000 0.036 0.234
Pr2 Pr 0.000 0.283 0.451
Pr3 Pr 0.168 0.461 0.546
Pr4 Pr 0.237 0.292 0.722
```

- density of states at the Fermi level (states/eV per atom) = 1.41

=====

Which of them is the least stable? Correct choice: one.

=====

one.
Density functional theory data (GGA-PBE) for a relaxed structure of La4Tb3Pr.

```
data_La4Tb3Pr
_chemical_formula_sum 'La8 Tb6 Pr2'
_space_group_name_H-M_alt 'I m m m'
_space_group_IT_number 71
_space_group_name_Hall '-I 2 2'
_cell_length_a 3.545
_cell_length_b 11.859
_cell_length_c 13.305
_cell_angle_alpha 90.00
_cell_angle_beta 90.00
_cell_angle_gamma 90.00
loop_
_atom_site_label
_atom_site_type_symbol
_atom_site_fract_x
_atom_site_fract_y
_atom_site_fract_z
La1 La 0.000 0.249 0.133
Tb1 Tb 0.000 0.000 0.262
Tb2 Tb 0.000 0.500 0.500
Pr1 Pr 0.000 0.500 0.000
```

- density of states at the Fermi level (states/eV per atom) = 1.85

=====

two.
Density functional theory data (GGA-PBE) for a relaxed structure of La4Tb3Pr.

```
data_La4Tb3Pr
_chemical_formula_sum 'La8 Tb6 Pr2'
_space_group_name_H-M_alt 'P m n 21'
_space_group_IT_number 31
_space_group_name_Hall 'P 2ac -2'
_cell_length_a 11.833
_cell_length_b 7.409
_cell_length_c 6.433
_cell_angle_alpha 90.00
_cell_angle_beta 90.00
_cell_angle_gamma 90.00
loop_
_atom_site_label
_atom_site_type_symbol
_atom_site_fract_x
_atom_site_fract_y
_atom_site_fract_z
La1 La 0.000 0.128 0.000
La2 La 0.000 0.871 0.514
La3 La 0.245 0.125 0.334
Tb1 Tb 0.000 0.379 0.503
Tb2 Tb 0.250 0.379 0.835
Pr1 Pr 0.000 0.626 0.004
```

- density of states at the Fermi level (states/eV per atom) = 1.72

=====

Which of them is the least stable? Correct choice: one.

=====

one.
Density functional theory data (GGA-PBE) for a relaxed structure of La4Tb7Pr.

```
data_La4Tb7Pr
_chemical_formula_sum 'La8 Tb14 Pr2'
_space_group_name_H-M_alt 'C 1 2/m 1'
_space_group_IT_number 12
_space_group_name_Hall '-C 2y'
_cell_length_a 12.228
_cell_length_b 6.021
_cell_length_c 13.049
_cell_angle_alpha 90.00
_cell_angle_beta 117.91
_cell_angle_gamma 90.00
loop_
_atom_site_label
_atom_site_type_symbol
_atom_site_fract_x
_atom_site_fract_y
_atom_site_fract_z
La1 La 0.056 0.000 0.333
La2 La 0.143 0.500 0.777
Tb1 Tb 0.000 0.000 0.000
Tb2 Tb 0.137 0.500 0.504
Tb3 Tb 0.213 0.000 0.924
Tb4 Tb 0.245 0.500 0.315
Pr1 Pr 0.000 0.500 0.000
```

- density of states at the Fermi level (states/eV per atom) = 1.67

=====

two.
Density functional theory data (GGA-PBE) for a relaxed structure of La4Tb7Pr.

```
data_La4Tb7Pr
_chemical_formula_sum 'La4 Tb7 Pr1'
_space_group_name_H-M_alt 'P -3 m 1'
_space_group_IT_number 164
_space_group_name_Hall '-P 3 2"'
_cell_length_a 3.6415
_cell_length_b 3.6415
_cell_length_c 35.4563
_cell_angle_alpha 90.00
_cell_angle_beta 90.00
_cell_angle_gamma 120.00
loop_
_atom_site_label
_atom_site_type_symbol
_atom_site_fract_x
_atom_site_fract_y
_atom_site_fract_z
La1 La 0.3333 0.6667 0.1670
La2 La 0.3333 0.6667 0.4163
Tb1 Tb 0.0000 0.0000 0.2514
Tb2 Tb 0.0000 0.0000 0.5000
Tb3 Tb 0.3333 0.6667 0.6680
Tb4 Tb 0.3333 0.6667 0.9170
Pr1 Pr 0.0000 0.0000 0.0000
```

- density of states at the Fermi level (states/eV per atom) = 1.38

=====

Which of them is the least stable? Correct choice: one.

=====

one.
Density functional theory data (GGA-PBE) for a relaxed structure of La4Tb3Pr2.

```
data_La4Tb3Pr2
_chemical_formula_sum 'La8 Tb6 Pr4'
_space_group_name_H-M_alt 'C 1 2/m 1'
_space_group_IT_number 12
_space_group_name_Hall '-C 2y'
_cell_length_a 11.611
_cell_length_b 5.216
_cell_length_c 11.033
_cell_angle_alpha 90.00
_cell_angle_beta 108.12
_cell_angle_gamma 90.00
loop_
_atom_site_label
_atom_site_type_symbol
_atom_site_fract_x
_atom_site_fract_y
_atom_site_fract_z
La1 La 0.001 0.000 0.334
La2 La 0.166 0.500 0.889
Tb1 Tb 0.000 0.000 0.000
Tb2 Tb 0.165 0.500 0.552
Pr1 Pr 0.169 0.500 0.225
```

- density of states at the Fermi level (states/eV per atom) = 1.84

=====

two.
Density functional theory data (GGA-PBE) for a relaxed structure of La4Tb3Pr2.

```
data_La4Tb3Pr2
_chemical_formula_sum 'La4 Tb3 Pr2'
_space_group_name_H-M_alt 'P 3 m 1'
_space_group_IT_number 156
_space_group_name_Hall 'P 3 -2"'
_cell_length_a 3.6634
_cell_length_b 3.6634
_cell_length_c 27.5783
_cell_angle_alpha 90.00
_cell_angle_beta 90.00
_cell_angle_gamma 120.00
loop_
_atom_site_label
_atom_site_type_symbol
_atom_site_fract_x
_atom_site_fract_y
_atom_site_fract_z
La1 La 0.0000 0.0000 0.0000
La2 La 0.0000 0.0000 0.2130
La3 La 0.3333 0.6667 0.3289
La4 La 0.3333 0.6667 0.5431
Tb1 Tb 0.0000 0.0000 0.4358
Tb2 Tb 0.3333 0.6667 0.1051
Tb3 Tb 0.3333 0.6667 0.7648
Pr1 Pr 0.0000 0.0000 0.6577
Pr2 Pr 0.0000 0.0000 0.8687
```

- density of states at the Fermi level (states/eV per atom) = 1.92

=====

Which of them is the least stable? Correct choice: two.